Here is a geometry-optimized ZnSbIr2 structure from the Open Quantum Materials Database. Energies are from PBE.

Summary:
Its raw total energy is -5.480 eV per atom. As for the crystal system: cubic. The space-group type is No. 216.

CIF file:
```
data_ZnSbIr2
_symmetry_space_group_name_H-M 'P 1'
_symmetry_Int_Tables_number 1
_symmetry_space_group_name_Hall 'P 1'
_cell_length_a 4.5388
_cell_length_b 4.5388
_cell_length_c 4.5388
_cell_angle_alpha 60.00
_cell_angle_beta 60.00
_cell_angle_gamma 60.00
loop_
_atom_site_label
_atom_site_type_symbol
_atom_site_fract_x
_atom_site_fract_y
_atom_site_fract_z
Zn1 Zn 0.0000 0.0000 0.0000
Sb1 Sb 0.7500 0.7500 0.7500
Ir1 Ir 0.2500 0.2500 0.2500
Ir2 Ir 0.5000 0.5000 0.5000
```

=====

Here is a geometry-optimized DyCdMo structure from the Open Quantum Materials Database. Energies are from PBE.

Summary:
As for the formation energy: 0.82 eV/atom. As for the crystal system: cubic. The space-group type is No. 216.

CIF file:
```
data_DyCdMo
_symmetry_space_group_name_H-M 'P 1'
_symmetry_Int_Tables_number 1
_symmetry_space_group_name_Hall 'P 1'
_cell_length_a 4.7901
_cell_length_b 4.7901
_cell_length_c 4.7901
_cell_angle_alpha 60.00
_cell_angle_beta 60.00
_cell_angle_gamma 60.00
loop_
_atom_site_label
_atom_site_type_symbol
_atom_site_fract_x
_atom_site_fract_y
_atom_site_fract_z
Dy1 Dy 0.0000 0.0000 0.0000
Cd1 Cd 0.5000 0.5000 0.5000
Mo1 Mo 0.7500 0.7500 0.7500
```

=====

Here is a geometry-optimized Cs2RbAg3Sb2 structure from the Open Quantum Materials Database. Energies are from PBE.

Summary:
Its raw total energy is -2.760 eV per atom. As for the crystal system: trigonal. The space-group type is No. 166.

CIF file:
```
data_Cs2RbAg3Sb2
_symmetry_space_group_name_H-M 'P 1'
_symmetry_Int_Tables_number 1
_symmetry_space_group_name_Hall 'P 1'
_cell_length_a 8.6230
_cell_length_b 8.6230
_cell_length_c 8.6230
_cell_angle_alpha 45.69
_cell_angle_beta 45.69
_cell_angle_gamma 45.69
loop_
_atom_site_label
_atom_site_type_symbol
_atom_site_fract_x
_atom_site_fract_y
_atom_site_fract_z
Cs1 Cs 0.0871 0.0871 0.0871
Cs2 Cs 0.9129 0.9129 0.9129
Rb1 Rb 0.5000 0.5000 0.5000
Ag1 Ag 0.0000 0.5000 0.5000
Ag2 Ag 0.5000 0.0000 0.5000
Ag3 Ag 0.5000 0.5000 0.0000
Sb1 Sb 0.2500 0.2500 0.2500
Sb2 Sb 0.7500 0.7500 0.7500
```

=====

Here is a geometry-optimized CsDyCoSe3 structure from the Open Quantum Materials Database. Energies are from PBE.

Summary:
Its raw total energy is -5.019 eV per atom. As for the crystal system: monoclinic. The space-group type is No. 11.

CIF file:
```
data_CsDyCoSe3
_symmetry_space_group_name_H-M 'P 1'
_symmetry_Int_Tables_number 1
_symmetry_space_group_name_Hall 'P 1'
_cell_length_a 9.8399
_cell_length_b 4.0550
_cell_length_c 10.0409
_cell_angle_alpha 90.00
_cell_angle_beta 112.68
_cell_angle_gamma 90.00
loop_
_atom_site_label
_atom_site_type_symbol
_atom_site_fract_x
_atom_site_fract_y
_atom_site_fract_z
Cs1 Cs 0.2098 0.2500 0.2390
Cs2 Cs 0.7902 0.7500 0.7610
Dy1 Dy 0.3310 0.7500 0.8574
Dy2 Dy 0.6690 0.2500 0.1426
Co1 Co 0.0746 0.2500 0.5909
Co2 Co 0.9254 0.7500 0.4091
Se1 Se 0.1214 0.2500 0.8446
Se2 Se 0.1779 0.7500 0.5388
Se3 Se 0.4731 0.7500 0.1623
Se4 Se 0.5269 0.2500 0.8377
Se5 Se 0.8221 0.2500 0.4612
Se6 Se 0.8786 0.7500 0.1554
```

=====

Here is a geometry-optimized Er2AsO4 structure from the Open Quantum Materials Database. Energies are from PBE.

Summary:
Its raw total energy is -7.207 eV per atom. As for the crystal system: cubic. The space-group type is No. 227.

CIF file:
```
data_Er2AsO4
_symmetry_space_group_name_H-M 'P 1'
_symmetry_Int_Tables_number 1
_symmetry_space_group_name_Hall 'P 1'
_cell_length_a 6.6907
_cell_length_b 6.6907
_cell_length_c 6.6907
_cell_angle_alpha 60.00
_cell_angle_beta 60.00
_cell_angle_gamma 60.00
loop_
_atom_site_label
_atom_site_type_symbol
_atom_site_fract_x
_atom_site_fract_y
_atom_site_fract_z
Er1 Er 0.0000 0.0000 0.0000
Er2 Er 0.0000 0.0000 0.5000
Er3 Er 0.0000 0.5000 0.0000
Er4 Er 0.5000 0.0000 0.0000
As1 As 0.3750 0.3750 0.3750
As2 As 0.6250 0.6250 0.6250
O1 O 0.2121 0.7626 0.7626
O2 O 0.2374 0.2374 0.2374
O3 O 0.2374 0.2374 0.7879
O4 O 0.2374 0.7879 0.2374
O5 O 0.7626 0.2121 0.7626
O6 O 0.7626 0.7626 0.2121
O7 O 0.7626 0.7626 0.7626
O8 O 0.7879 0.2374 0.2374
```

=====

Here is a geometry-optimized ZrMo structure from the Open Quantum Materials Database. Energies are from PBE.

Summary:
As for the formation energy: 0.04 eV/atom. As for the crystal system: orthorhombic. The space-group type is No. 59.

CIF file:
```
data_ZrMo
_symmetry_space_group_name_H-M 'P 1'
_symmetry_Int_Tables_number 1
_symmetry_space_group_name_Hall 'P 1'
_cell_length_a 4.7866
_cell_length_b 6.6055
_cell_length_c 9.5318
_cell_angle_alpha 90.00
_cell_angle_beta 90.00
_cell_angle_gamma 90.00
loop_
_atom_site_label
_atom_site_type_symbol
_atom_site_fract_x
_atom_site_fract_y
_atom_site_fract_z
Zr1 Zr 0.2500 0.0050 0.1223
Zr2 Zr 0.2500 0.2500 0.3878
Zr3 Zr 0.2500 0.2500 0.8371
Zr4 Zr 0.2500 0.4950 0.1223
Zr5 Zr 0.7500 0.5050 0.8777
Zr6 Zr 0.7500 0.7500 0.1629
Zr7 Zr 0.7500 0.7500 0.6122
Zr8 Zr 0.7500 0.9950 0.8777
Mo1 Mo 0.2500 0.5081 0.6174
Mo2 Mo 0.2500 0.7500 0.3898
Mo3 Mo 0.2500 0.7500 0.8468
Mo4 Mo 0.2500 0.9919 0.6174
Mo5 Mo 0.7500 0.0081 0.3826
Mo6 Mo 0.7500 0.2500 0.1532
Mo7 Mo 0.7500 0.2500 0.6102
Mo8 Mo 0.7500 0.4919 0.3826
```